[1]
## KAl3Ag (GGA-PBE)

Data for crystalline KAl3Ag at its relaxed geometry.

Geometry as CIF:
```
data_KAl3Ag
_chemical_formula_sum 'K1 Al3 Ag1'
_space_group_name_H-M_alt 'P 1'
_space_group_IT_number 1
_space_group_name_Hall 'P 1'
_cell_length_a 5.088
_cell_length_b 5.088
_cell_length_c 5.088
_cell_angle_alpha 90.00
_cell_angle_beta 90.00
_cell_angle_gamma 90.00
loop_
_atom_site_label
_atom_site_type_symbol
_atom_site_fract_x
_atom_site_fract_y
_atom_site_fract_z
K1 K 0.000 0.000 0.000
Al1 Al 0.000 0.500 0.500
Al2 Al 0.500 0.000 0.500
Al3 Al 0.500 0.500 0.000
Ag1 Ag 0.500 0.500 0.500
```

- E_tot: -13.14 eV/cell
- D(E_F): 0.544 states/eV per atom
- V: 26.348 Å³ per atom

***

[2]
## Zr2TlGaFe (GGA-PBE)

Data for crystalline Zr2TlGaFe at its relaxed geometry.

Geometry as CIF:
```
data_Zr2TlGaFe
_chemical_formula_sum 'Zr2 Tl1 Ga1 Fe1'
_space_group_name_H-M_alt 'P 1'
_space_group_IT_number 1
_space_group_name_Hall 'P 1'
_cell_length_a 5.374
_cell_length_b 5.374
_cell_length_c 4.746
_cell_angle_alpha 90.00
_cell_angle_beta 90.00
_cell_angle_gamma 90.00
loop_
_atom_site_label
_atom_site_type_symbol
_atom_site_fract_x
_atom_site_fract_y
_atom_site_fract_z
Zr1 Zr 0.000 0.500 0.000
Zr2 Zr 0.500 0.000 0.000
Tl1 Tl 0.000 0.000 0.000
Ga1 Ga 0.000 0.000 0.500
Fe1 Fe 0.500 0.500 0.500
```

- E_tot: -22.36 eV/cell
- D(E_F): 1.118 states/eV per atom
- V: 27.418 Å³ per atom

***

[3]
## NdNbAs2 (GGA-PBE)

Data for crystalline NdNbAs2 at its relaxed geometry.

Geometry as CIF:
```
data_NdNbAs2
_chemical_formula_sum 'Nd1 Nb1 As2'
_space_group_name_H-M_alt 'P 1'
_space_group_IT_number 1
_space_group_name_Hall 'P 1'
_cell_length_a 6.932
_cell_length_b 6.932
_cell_length_c 6.932
_cell_angle_alpha 33.16
_cell_angle_beta 33.16
_cell_angle_gamma 33.16
loop_
_atom_site_label
_atom_site_type_symbol
_atom_site_fract_x
_atom_site_fract_y
_atom_site_fract_z
Nd1 Nd 0.000 0.000 0.000
Nb1 Nb 0.500 0.500 0.500
As1 As 0.239 0.239 0.239
As2 As 0.761 0.761 0.761
```

- E_tot: -27.68 eV/cell
- D(E_F): 0.489 states/eV per atom
- V: 22.176 Å³ per atom